# 1
Crystalline SmMg2Ge2 at its relaxed geometry, computed with PBE-GGA.

Output
ΔE to the lowest computed polymorph	105	meV/atom

a b c (Å): 4.4705 4.6644 10.7571
angles (deg): 93.45 90.00 90.00
Element x y z (fractional)
Sm 0.7500 0.2982 0.7653
Sm 0.2500 0.7018 0.2347
Ge 0.7500 0.2322 0.3544
Ge 0.2500 0.7678 0.6456
Ge 0.2500 0.3309 0.9951
Ge 0.7500 0.6691 0.0049
Mg 0.2500 0.8267 0.8857
Mg 0.7500 0.1733 0.1143
Mg 0.7500 0.7508 0.4987
Mg 0.2500 0.2492 0.5013

# 2
Crystalline Sm2Mg2Ge3 at its relaxed geometry, computed with PBE-GGA.

a b c (Å): 4.3915 8.1000 10.0850
angles (deg): 83.71 77.42 74.27
Element x y z (fractional)
Mg 0.9500 0.7751 0.3249
Mg 0.0500 0.2249 0.6751
Mg 0.5909 0.4785 0.3397
Mg 0.4091 0.5215 0.6603
Ge 0.9183 0.0422 0.1212
Ge 0.0817 0.9578 0.8788
Ge 0.6339 0.2107 0.5215
Ge 0.8338 0.5074 0.8250
Ge 0.1662 0.4926 0.1750
Ge 0.3661 0.7893 0.4785
Sm 0.6056 0.7367 0.0521
Sm 0.2693 0.1312 0.3301
Sm 0.3944 0.2633 0.9479
Sm 0.7307 0.8688 0.6699

# 3
Crystalline SmMgGe at its relaxed geometry, computed with PBE-GGA.

a b c (Å): 3.4061 3.4061 6.6129
angles (deg): 104.92 104.92 90.00
Element x y z (fractional)
Mg 0.9258 0.9258 0.8517
Ge 0.2939 0.2939 0.5878
Sm 0.6303 0.6303 0.2606

# 4
Crystalline SmMgGe2 at its relaxed geometry, computed with PBE-GGA.

Output
ΔE to the lowest computed polymorph	0	meV/atom

a b c (Å): 3.9397 8.1265 10.9501
angles (deg): 90.00 90.00 90.00
Element x y z (fractional)
Ge 0.7500 0.8328 0.8065
Ge 0.7500 0.2471 0.0492
Ge 0.2500 0.6672 0.3065
Ge 0.2500 0.1672 0.1935
Ge 0.7500 0.3328 0.6935
Ge 0.2500 0.2529 0.5492
Ge 0.7500 0.7471 0.4508
Ge 0.2500 0.7529 0.9508
Mg 0.7500 0.5126 0.8954
Mg 0.2500 0.4874 0.1046
Mg 0.2500 0.9874 0.3954
Mg 0.7500 0.0126 0.6046
Sm 0.7500 0.8780 0.1463
Sm 0.2500 0.6220 0.6463
Sm 0.2500 0.1220 0.8537
Sm 0.7500 0.3780 0.3537

# 5
Crystalline SmMg2Ge2 at its relaxed geometry, computed with PBE-GGA.

Output
ΔE to the lowest computed polymorph	0	meV/atom

a b c (Å): 4.2733 4.2733 6.6631
angles (deg): 71.34 71.34 89.94
Element x y z (fractional)
Sm 0.0000 0.0000 0.0000
Ge 0.3934 0.3934 0.2115
Ge 0.6066 0.6066 0.7885
Mg 0.7500 0.2500 0.5000
Mg 0.2500 0.7500 0.5000

# 6
Crystalline SmMgGe2 at its relaxed geometry, computed with PBE-GGA.

Output
ΔE to the lowest computed polymorph	143	meV/atom

a b c (Å): 3.6044 3.6044 6.5689
angles (deg): 90.00 90.00 90.00
Element x y z (fractional)
Ge 0.0000 0.0000 0.2077
Ge 0.0000 0.0000 0.7923
Sm 0.5000 0.5000 0.5000
Mg 0.5000 0.5000 0.0000

# 7
Crystalline SmMgGe at its relaxed geometry, computed with PBE-GGA.

a b c (Å): 7.4459 7.4459 7.2650
angles (deg): 108.24 108.24 112.90
Element x y z (fractional)
Ge 0.4327 0.5673 0.5000
Ge 0.0673 0.9327 0.5000
Ge 0.8173 0.1827 0.0000
Ge 0.1827 0.8173 0.0000
Sm 0.6250 0.8750 0.2500
Sm 0.6250 0.3750 0.2500
Sm 0.6250 0.3750 0.7500
Sm 0.1250 0.3750 0.7500
Mg 0.8754 0.8754 0.7508
Mg 0.1246 0.1246 0.2492
Mg 0.1254 0.6254 0.2508
Mg 0.3746 0.8746 0.7492

# 8
Crystalline Sm2MgGe2 at its relaxed geometry, computed with PBE-GGA.

a b c (Å): 7.4007 7.4007 4.3395
angles (deg): 90.00 90.00 90.00
Element x y z (fractional)
Ge 0.1220 0.6220 0.0000
Ge 0.8780 0.3780 0.0000
Ge 0.3780 0.1220 0.0000
Ge 0.6220 0.8780 0.0000
Sm 0.6781 0.1781 0.5000
Sm 0.8219 0.6781 0.5000
Sm 0.3219 0.8219 0.5000
Sm 0.1781 0.3219 0.5000
Mg 0.0000 0.0000 0.0000
Mg 0.5000 0.5000 0.0000

# 9
Crystalline TbSmMgGe at its relaxed geometry, computed with PBE-GGA.

a b c (Å): 5.1904 5.1904 5.1904
angles (deg): 60.00 60.00 60.00
Element x y z (fractional)
Sm 0.0000 0.0000 0.0000
Tb 0.5000 0.5000 0.5000
Mg 0.7500 0.7500 0.7500
Ge 0.2500 0.2500 0.2500

# 10
Crystalline SmYMgGe at its relaxed geometry, computed with PBE-GGA.

a b c (Å): 5.1866 5.1866 5.1866
angles (deg): 60.00 60.00 60.00
Element x y z (fractional)
Mg 0.7500 0.7500 0.7500
Y 0.5000 0.5000 0.5000
Sm 0.0000 0.0000 0.0000
Ge 0.2500 0.2500 0.2500

# 11
Crystalline SmMgZn2Ge2 at its relaxed geometry, computed with PBE-GGA.

a b c (Å): 4.4394 4.4394 6.7597
angles (deg): 90.00 90.00 120.00
Element x y z (fractional)
Ge 0.6667 0.3333 0.7287
Ge 0.3333 0.6667 0.2713
Sm 0.0000 0.0000 0.0000
Zn 0.6667 0.3333 0.3013
Zn 0.3333 0.6667 0.6987
Mg 0.0000 0.0000 0.5000

# 12
Crystalline Mg4SnGe at its relaxed geometry, computed with PBE-GGA.

Output
ΔE to the lowest computed polymorph	316	meV/atom

a b c (Å): 5.7864 5.7864 5.7864
angles (deg): 60.00 60.00 60.00
Element x y z (fractional)
Mg 0.3752 0.3752 0.3752
Mg 0.3752 0.3752 0.8743
Mg 0.3752 0.8743 0.3752
Mg 0.8743 0.3752 0.3752
Ge 0.7500 0.7500 0.7500
Sn 0.0000 0.0000 0.0000

# 13
Crystalline Mg4SnGe at its relaxed geometry, computed with PBE-GGA.

Output
ΔE to the lowest computed polymorph	0	meV/atom

a b c (Å): 6.5991 6.5991 8.1196
angles (deg): 113.97 113.97 90.00
Element x y z (fractional)
Mg 0.1203 0.1203 0.2396
Mg 0.3797 0.3797 0.7604
Mg 0.3798 0.8798 0.7604
Mg 0.6202 0.1202 0.2396
Mg 0.8797 0.8797 0.7604
Mg 0.1202 0.6202 0.2396
Mg 0.6203 0.6203 0.2396
Mg 0.8798 0.3798 0.7604
Ge 0.2500 0.2500 0.0000
Ge 0.7500 0.7500 0.0000
Sn 0.0000 0.5000 0.5000
Sn 0.5000 0.0000 0.5000

# 14
Crystalline Mg2Sn2Ge at its relaxed geometry, computed with PBE-GGA.

Output
ΔE to the lowest computed polymorph	0	meV/atom

a b c (Å): 8.5485 8.5485 3.2964
angles (deg): 90.00 90.00 90.00
Element x y z (fractional)
Ge 0.0000 0.0000 0.0000
Ge 0.5000 0.5000 0.0000
Sn 0.8307 0.6693 0.0000
Sn 0.3307 0.8307 0.0000
Sn 0.6693 0.1693 0.0000
Sn 0.1693 0.3307 0.0000
Mg 0.8702 0.3702 0.5000
Mg 0.6298 0.8702 0.5000
Mg 0.3702 0.1298 0.5000
Mg 0.1298 0.6298 0.5000

# 15
Crystalline Mg3SnGe at its relaxed geometry, computed with PBE-GGA.

Output
ΔE to the lowest computed polymorph	462	meV/atom

a b c (Å): 5.3034 5.3034 5.3034
angles (deg): 90.00 90.00 90.00
Element x y z (fractional)
Ge 0.5000 0.5000 0.5000
Mg 0.0000 0.5000 0.0000
Mg 0.5000 0.0000 0.0000
Mg 0.0000 0.0000 0.5000
Sn 0.0000 0.0000 0.0000

# 16
Crystalline MgSnGe2 at its relaxed geometry, computed with PBE-GGA.

Output
ΔE to the lowest computed polymorph	0	meV/atom

a b c (Å): 3.9453 4.6579 4.6579
angles (deg): 90.00 90.00 90.00
Element x y z (fractional)
Ge 0.0000 0.5000 0.0000
Ge 0.0000 0.0000 0.5000
Sn 0.5000 0.0000 0.0000
Mg 0.5000 0.5000 0.5000

# 17
Crystalline Mg3SnGe at its relaxed geometry, computed with PBE-GGA.

Output
ΔE to the lowest computed polymorph	0	meV/atom

a b c (Å): 5.0562 5.0562 5.0562
angles (deg): 90.00 90.00 90.00
Element x y z (fractional)
Sn 0.5000 0.5000 0.5000
Mg 0.5000 0.0000 0.0000
Mg 0.0000 0.5000 0.0000
Mg 0.0000 0.0000 0.5000
Ge 0.0000 0.0000 0.0000

# 18
Crystalline MgSn2Ge2 at its relaxed geometry, computed with PBE-GGA.

Output
ΔE to the lowest computed polymorph	0	meV/atom

a b c (Å): 7.1488 7.1488 4.6322
angles (deg): 90.00 90.00 90.00
Element x y z (fractional)
Mg 0.5000 0.5000 0.0000
Mg 0.0000 0.0000 0.0000
Sn 0.3144 0.1856 0.5000
Sn 0.8144 0.3144 0.5000
Sn 0.6856 0.8144 0.5000
Sn 0.1856 0.6856 0.5000
Ge 0.1265 0.3735 0.0000
Ge 0.8735 0.6265 0.0000
Ge 0.6265 0.1265 0.0000
Ge 0.3735 0.8735 0.0000

# 19
Crystalline MgSnGe2 at its relaxed geometry, computed with PBE-GGA.

Output
ΔE to the lowest computed polymorph	49	meV/atom

a b c (Å): 3.7005 3.7005 7.9932
angles (deg): 76.62 76.62 60.00
Element x y z (fractional)
Ge 0.7506 0.7506 0.7483
Ge 0.2494 0.2494 0.2517
Mg 0.0000 0.0000 0.0000
Sn 0.5000 0.5000 0.5000

# 20
Crystalline Mg2SnGe2 at its relaxed geometry, computed with PBE-GGA.

Output
ΔE to the lowest computed polymorph	0	meV/atom

a b c (Å): 8.2875 8.2875 3.0935
angles (deg): 90.00 90.00 90.00
Element x y z (fractional)
Sn 0.5000 0.5000 0.0000
Sn 0.0000 0.0000 0.0000
Ge 0.3386 0.8386 0.0000
Ge 0.1614 0.3386 0.0000
Ge 0.6614 0.1614 0.0000
Ge 0.8386 0.6614 0.0000
Mg 0.3644 0.1356 0.5000
Mg 0.8644 0.3644 0.5000
Mg 0.6356 0.8644 0.5000
Mg 0.1356 0.6356 0.5000

# 21
Crystalline Mg2SnGe2 at its relaxed geometry, computed with PBE-GGA.

Output
ΔE to the lowest computed polymorph	46	meV/atom

a b c (Å): 4.5352 4.5352 6.3653
angles (deg): 69.13 69.13 90.00
Element x y z (fractional)
Ge 0.6100 0.6100 0.7800
Ge 0.3900 0.3900 0.2200
Mg 0.2500 0.7500 0.5000
Mg 0.7500 0.2500 0.5000
Sn 0.0000 0.0000 0.0000

# 22
Crystalline Mg4SnGe at its relaxed geometry, computed with PBE-GGA.

Output
ΔE to the lowest computed polymorph	2	meV/atom

a b c (Å): 4.6835 4.6811 8.0885
angles (deg): 73.16 73.17 59.98
Element x y z (fractional)
Mg 0.1214 0.1217 0.6356
Mg 0.3719 0.3719 0.8843
Mg 0.8786 0.8783 0.3644
Mg 0.6281 0.6281 0.1157
Ge 0.0000 0.0000 0.0000
Sn 0.5000 0.5000 0.5000

# 23
Crystalline MgSnGe2 at its relaxed geometry, computed with PBE-GGA.

Output
ΔE to the lowest computed polymorph	6	meV/atom

a b c (Å): 3.2668 3.2668 8.0962
angles (deg): 90.00 90.00 90.00
Element x y z (fractional)
Sn 0.5000 0.5000 0.5000
Ge 0.0000 0.0000 0.7726
Ge 0.0000 0.0000 0.2274
Mg 0.5000 0.5000 0.0000

# 24
Crystalline MgSn2Ge2 at its relaxed geometry, computed with PBE-GGA.

Output
ΔE to the lowest computed polymorph	95	meV/atom

a b c (Å): 7.9368 7.9368 3.8275
angles (deg): 90.00 90.00 90.00
Element x y z (fractional)
Ge 0.6426 0.8574 0.5000
Ge 0.8574 0.3574 0.5000
Ge 0.3574 0.1426 0.5000
Ge 0.1426 0.6426 0.5000
Sn 0.3525 0.8525 0.0000
Sn 0.8525 0.6475 0.0000
Sn 0.6475 0.1475 0.0000
Sn 0.1475 0.3525 0.0000
Mg 0.0000 0.0000 0.0000
Mg 0.5000 0.5000 0.0000

# 25
Crystalline MgSn2Ge2 at its relaxed geometry, computed with PBE-GGA.

Output
ΔE to the lowest computed polymorph	80	meV/atom

a b c (Å): 3.9335 3.9335 8.3700
angles (deg): 76.41 76.41 90.00
Element x y z (fractional)
Mg 0.0000 0.0000 0.0000
Ge 0.7500 0.2500 0.5000
Ge 0.2500 0.7500 0.5000
Sn 0.6028 0.6028 0.7943
Sn 0.3972 0.3972 0.2057

In order of appearance, magnetization = 0.00 0.00 0.00 0.00 0.00 0.00 0.00 0.00 0.00 0.00 0.00 0.00 0.00 0.00 0.00 0.00 0.00 0.00 0.00 0.00 0.00 0.00 0.00 0.00 0.00 μB per atom.
In order of appearance, energy of formation from the pure elements = -0.385 -0.575 -0.301 -0.517 -0.490 -0.373 -0.332 -0.781 -0.365 -0.374 -0.388 0.096 -0.220 0.046 0.555 0.084 0.093 0.071 0.133 -0.068 -0.022 -0.218 0.090 0.166 0.151 eV per atom.
In order of appearance, final energy = -3.814 -4.358 -3.945 -4.404 -3.919 -4.261 -3.976 -4.834 -4.255 -4.723 -3.404 -2.404 -2.720 -3.117 -2.125 -3.624 -2.587 -3.696 -3.575 -3.354 -3.307 -2.718 -3.618 -3.601 -3.616 eV per atom.